Record 1
DFT (PBE-GGA) results for an optimized crystal structure of Ba2UCl2O4.

Unit cell a=6.381 b=6.381 c=6.381 alpha=117.96 beta=117.96 gamma=93.58
Fractional positions:
Ba  0.250  0.750  0.500
Ba  0.750  0.250  0.500
U  0.000  0.000  0.000
Cl  0.309  0.309  0.000
Cl  0.691  0.691  0.000
O  0.212  0.212  0.424
O  0.212  0.788  0.000
O  0.788  0.212  0.000
O  0.788  0.788  0.576

Results
As for the formation energy without anion corrections: -2.715 eV/atom.

Record 2
DFT (PBE-GGA) results for an optimized crystal structure of ReAgAu2.

Unit cell a=4.788 b=4.788 c=4.788 alpha=126.39 beta=126.39 gamma=79.24
Fractional positions:
Re  0.000  0.000  0.000
Ag  0.500  0.500  0.000
Au  0.250  0.750  0.500
Au  0.750  0.250  0.500

Results
The value obtained for the calculated formation energy is 0.66 eV per atom. For the energy above the most stable polymorph in this dataset, the calculation gives 0.329 eV per atom.

Record 3
DFT (PBE-GGA) results for an optimized crystal structure of BaTl2CoAu.

Unit cell a=5.461 b=5.461 c=6.182 alpha=90.00 beta=90.00 gamma=90.00
Fractional positions:
Ba  0.000  0.000  0.000
Tl  0.000  0.500  0.500
Tl  0.500  0.000  0.500
Co  0.500  0.500  0.000
Au  0.000  0.000  0.500

Results
The value obtained for the calculated formation energy is 0.56 eV per atom.

Record 4
DFT (PBE-GGA) results for an optimized crystal structure of MgTcSn2.

Unit cell a=9.994 b=9.994 c=9.994 alpha=18.91 beta=18.91 gamma=18.91
Fractional positions:
Mg  0.000  0.000  0.000
Tc  0.500  0.500  0.500
Sn  0.099  0.099  0.099
Sn  0.901  0.901  0.901

Results
The value obtained for the calculated formation energy is 0.16 eV per atom.